[1]
# Zr9S2

A relaxed Zr9S2 crystal (PBE-GGA, the Open Quantum Materials Database).

magnetic moment = 0.0 μB per formula unit
raw total energy = -8.355 eV/atom

Cell and atoms, written as CIF:
```
data_Zr9S2
_space_group_name_H-M_alt 'P 1'
_space_group_IT_number 1
_space_group_name_Hall 'P 1'
_cell_length_a 11.8988
_cell_length_b 11.8988
_cell_length_c 11.8988
_cell_angle_alpha 131.51
_cell_angle_beta 131.51
_cell_angle_gamma 71.01
loop_
_atom_site_label
_atom_site_type_symbol
_atom_site_fract_x
_atom_site_fract_y
_atom_site_fract_z
S1 S 0.0221 0.5221 0.0441
S2 S 0.2721 0.2721 0.5441
S3 S 0.4779 0.5221 0.5000
S4 S 0.2721 0.7279 0.0000
S5 S 0.7279 0.7279 0.4559
S6 S 0.0221 0.9779 0.5000
S7 S 0.7279 0.2721 0.0000
S8 S 0.4779 0.9779 0.9559
Zr1 Zr 0.8650 0.8650 0.0000
Zr2 Zr 0.6960 0.6250 0.5710
Zr3 Zr 0.5737 0.4251 0.8514
Zr4 Zr 0.0177 0.7977 0.7800
Zr5 Zr 0.9877 0.2677 0.7200
Zr6 Zr 0.3067 0.1348 0.8281
Zr7 Zr 0.7623 0.9823 0.7800
Zr8 Zr 0.4433 0.1152 0.6719
Zr9 Zr 0.6150 0.1150 0.5000
Zr10 Zr 0.1763 0.5278 0.3514
Zr11 Zr 0.4722 0.8237 0.6486
Zr12 Zr 0.1763 0.8249 0.6486
Zr13 Zr 0.5737 0.7222 0.1486
Zr14 Zr 0.3750 0.9460 0.0710
Zr15 Zr 0.7323 0.0123 0.2800
Zr16 Zr 0.2023 0.9823 0.2200
Zr17 Zr 0.7323 0.4523 0.7200
Zr18 Zr 0.5477 0.2677 0.2800
Zr19 Zr 0.8848 0.5567 0.3281
Zr20 Zr 0.4433 0.7714 0.3281
Zr21 Zr 0.3750 0.3040 0.4291
Zr22 Zr 0.2778 0.4263 0.8514
Zr23 Zr 0.0541 0.6250 0.9291
Zr24 Zr 0.1751 0.8237 0.3514
Zr25 Zr 0.3067 0.4786 0.1719
Zr26 Zr 0.5749 0.4263 0.1486
Zr27 Zr 0.5214 0.6933 0.8281
Zr28 Zr 0.2286 0.5567 0.6719
Zr29 Zr 0.8750 0.3040 0.9291
Zr30 Zr 0.0177 0.2377 0.2200
Zr31 Zr 0.8750 0.9460 0.5710
Zr32 Zr 0.8850 0.3850 0.5000
Zr33 Zr 0.8652 0.6933 0.1719
Zr34 Zr 0.0541 0.1250 0.4291
Zr35 Zr 0.6960 0.1250 0.0710
Zr36 Zr 0.1350 0.1350 0.0000
```

=====

[2]
# ZrS

A relaxed ZrS crystal (PBE-GGA, the Open Quantum Materials Database).

magnetic moment = 0.0 μB per formula unit
raw total energy = -7.682 eV/atom

Cell and atoms, written as CIF:
```
data_ZrS
_space_group_name_H-M_alt 'P 1'
_space_group_IT_number 1
_space_group_name_Hall 'P 1'
_cell_length_a 3.7070
_cell_length_b 3.7070
_cell_length_c 3.7070
_cell_angle_alpha 120.00
_cell_angle_beta 90.00
_cell_angle_gamma 120.00
loop_
_atom_site_label
_atom_site_type_symbol
_atom_site_fract_x
_atom_site_fract_y
_atom_site_fract_z
Zr1 Zr 0.0000 0.0000 0.0000
S1 S 0.5000 0.0000 0.5000
```

=====

[3]
# ZrS

A relaxed ZrS crystal (PBE-GGA, the Open Quantum Materials Database).

magnetic moment = 0.0 μB per formula unit
raw total energy = -7.777 eV/atom

Cell and atoms, written as CIF:
```
data_ZrS
_space_group_name_H-M_alt 'P 1'
_space_group_IT_number 1
_space_group_name_Hall 'P 1'
_cell_length_a 3.6069
_cell_length_b 3.6069
_cell_length_c 5.5597
_cell_angle_alpha 90.00
_cell_angle_beta 90.00
_cell_angle_gamma 90.00
loop_
_atom_site_label
_atom_site_type_symbol
_atom_site_fract_x
_atom_site_fract_y
_atom_site_fract_z
Zr1 Zr 0.0000 0.5000 0.8139
Zr2 Zr 0.5000 0.0000 0.1861
S1 S 0.5000 0.0000 0.7013
S2 S 0.0000 0.5000 0.2987
```

=====

[4]
# Sm2Sc2SiSb

A relaxed Sm2Sc2SiSb crystal (PBE-GGA, the Open Quantum Materials Database).

magnetic moment = 0.9 μB per formula unit
raw total energy = -6.023 eV/atom

Cell and atoms, written as CIF:
```
data_Sm2Sc2SiSb
_space_group_name_H-M_alt 'P 1'
_space_group_IT_number 1
_space_group_name_Hall 'P 1'
_cell_length_a 8.5880
_cell_length_b 8.5880
_cell_length_c 8.5880
_cell_angle_alpha 150.59
_cell_angle_beta 150.59
_cell_angle_gamma 42.07
loop_
_atom_site_label
_atom_site_type_symbol
_atom_site_fract_x
_atom_site_fract_y
_atom_site_fract_z
Sm1 Sm 0.3290 0.3290 0.0000
Sm2 Sm 0.6837 0.6837 0.0000
Sc1 Sc 0.9914 0.4914 0.5000
Sc2 Sc 0.4914 0.9914 0.5000
Sb1 Sb 0.1278 0.1278 0.0000
Si1 Si 0.8767 0.8767 0.0000
```

=====

[5]
# SmZr2ScSb2

A relaxed SmZr2ScSb2 crystal (PBE-GGA, the Open Quantum Materials Database).

magnetic moment = 0.0 μB per formula unit
raw total energy = -6.820 eV/atom

Cell and atoms, written as CIF:
```
data_SmZr2ScSb2
_space_group_name_H-M_alt 'P 1'
_space_group_IT_number 1
_space_group_name_Hall 'P 1'
_cell_length_a 8.7770
_cell_length_b 8.7770
_cell_length_c 8.7770
_cell_angle_alpha 152.01
_cell_angle_beta 152.01
_cell_angle_gamma 39.99
loop_
_atom_site_label
_atom_site_type_symbol
_atom_site_fract_x
_atom_site_fract_y
_atom_site_fract_z
Sm1 Sm 0.3211 0.3211 0.0000
Zr1 Zr 0.5022 0.0022 0.5000
Zr2 Zr 0.0022 0.5022 0.5000
Sb1 Sb 0.1347 0.1347 0.0000
Sb2 Sb 0.8663 0.8663 0.0000
Sc1 Sc 0.6734 0.6734 0.0000
```

=====

[6]
# SmZrSc2Sb2

A relaxed SmZrSc2Sb2 crystal (PBE-GGA, the Open Quantum Materials Database).

magnetic moment = 0.6 μB per formula unit
raw total energy = -6.414 eV/atom

Cell and atoms, written as CIF:
```
data_SmZrSc2Sb2
_space_group_name_H-M_alt 'P 1'
_space_group_IT_number 1
_space_group_name_Hall 'P 1'
_cell_length_a 8.6889
_cell_length_b 8.6889
_cell_length_c 8.6889
_cell_angle_alpha 151.64
_cell_angle_beta 151.64
_cell_angle_gamma 40.54
loop_
_atom_site_label
_atom_site_type_symbol
_atom_site_fract_x
_atom_site_fract_y
_atom_site_fract_z
Sb1 Sb 0.8685 0.8685 0.0000
Sb2 Sb 0.1319 0.1319 0.0000
Sm1 Sm 0.3198 0.3198 0.0000
Sc1 Sc 0.0033 0.5033 0.5000
Sc2 Sc 0.5033 0.0033 0.5000
Zr1 Zr 0.6733 0.6733 0.0000
```

=====

[7]
# ScTaSb2

A relaxed ScTaSb2 crystal (PBE-GGA, the Open Quantum Materials Database).

magnetic moment = 1.8 μB per formula unit
raw total energy = -6.374 eV/atom

Cell and atoms, written as CIF:
```
data_ScTaSb2
_space_group_name_H-M_alt 'P 1'
_space_group_IT_number 1
_space_group_name_Hall 'P 1'
_cell_length_a 4.9986
_cell_length_b 4.9986
_cell_length_c 4.9986
_cell_angle_alpha 60.00
_cell_angle_beta 60.00
_cell_angle_gamma 60.00
loop_
_atom_site_label
_atom_site_type_symbol
_atom_site_fract_x
_atom_site_fract_y
_atom_site_fract_z
Ta1 Ta 0.5000 0.5000 0.5000
Sb1 Sb 0.7500 0.7500 0.7500
Sb2 Sb 0.0000 0.0000 0.0000
Sc1 Sc 0.2500 0.2500 0.2500
```

=====

[8]
# ScTaSb

A relaxed ScTaSb crystal (PBE-GGA, the Open Quantum Materials Database).

magnetic moment = 0.0 μB per formula unit
raw total energy = -7.295 eV/atom

Cell and atoms, written as CIF:
```
data_ScTaSb
_space_group_name_H-M_alt 'P 1'
_space_group_IT_number 1
_space_group_name_Hall 'P 1'
_cell_length_a 4.6314
_cell_length_b 4.6314
_cell_length_c 4.6314
_cell_angle_alpha 60.00
_cell_angle_beta 60.00
_cell_angle_gamma 60.00
loop_
_atom_site_label
_atom_site_type_symbol
_atom_site_fract_x
_atom_site_fract_y
_atom_site_fract_z
Ta1 Ta 0.7500 0.7500 0.7500
Sc1 Sc 0.2500 0.2500 0.2500
Sb1 Sb 0.0000 0.0000 0.0000
```

=====

[9]
# TbScSb

A relaxed TbScSb crystal (PBE-GGA, the Open Quantum Materials Database).

magnetic moment = 0.3 μB per formula unit
raw total energy = -5.892 eV/atom

Cell and atoms, written as CIF:
```
data_TbScSb
_space_group_name_H-M_alt 'P 1'
_space_group_IT_number 1
_space_group_name_Hall 'P 1'
_cell_length_a 4.3384
_cell_length_b 4.3384
_cell_length_c 8.1823
_cell_angle_alpha 90.00
_cell_angle_beta 90.00
_cell_angle_gamma 90.00
loop_
_atom_site_label
_atom_site_type_symbol
_atom_site_fract_x
_atom_site_fract_y
_atom_site_fract_z
Tb1 Tb 0.5000 0.0000 0.3491
Tb2 Tb 0.0000 0.5000 0.6509
Sb1 Sb 0.0000 0.5000 0.2636
Sb2 Sb 0.5000 0.0000 0.7364
Sc1 Sc 0.5000 0.5000 0.0000
Sc2 Sc 0.0000 0.0000 0.0000
```

=====

[10]
# TbScSb

A relaxed TbScSb crystal (PBE-GGA, the Open Quantum Materials Database).

magnetic moment = 0.4 μB per formula unit
raw total energy = -5.535 eV/atom

Cell and atoms, written as CIF:
```
data_TbScSb
_space_group_name_H-M_alt 'P 1'
_space_group_IT_number 1
_space_group_name_Hall 'P 1'
_cell_length_a 4.9401
_cell_length_b 4.9401
_cell_length_c 4.9401
_cell_angle_alpha 60.00
_cell_angle_beta 60.00
_cell_angle_gamma 60.00
loop_
_atom_site_label
_atom_site_type_symbol
_atom_site_fract_x
_atom_site_fract_y
_atom_site_fract_z
Sc1 Sc 0.2500 0.2500 0.2500
Sb1 Sb 0.0000 0.0000 0.0000
Tb1 Tb 0.7500 0.7500 0.7500
```

=====

[11]
# TbZr2ScSb2

A relaxed TbZr2ScSb2 crystal (PBE-GGA, the Open Quantum Materials Database).

magnetic moment = 0.0 μB per formula unit
raw total energy = -6.811 eV/atom

Cell and atoms, written as CIF:
```
data_TbZr2ScSb2
_space_group_name_H-M_alt 'P 1'
_space_group_IT_number 1
_space_group_name_Hall 'P 1'
_cell_length_a 8.7169
_cell_length_b 8.7169
_cell_length_c 8.7169
_cell_angle_alpha 151.97
_cell_angle_beta 151.97
_cell_angle_gamma 40.06
loop_
_atom_site_label
_atom_site_type_symbol
_atom_site_fract_x
_atom_site_fract_y
_atom_site_fract_z
Zr1 Zr 0.5016 0.0016 0.5000
Zr2 Zr 0.0016 0.5016 0.5000
Sc1 Sc 0.6745 0.6745 0.0000
Sb1 Sb 0.1361 0.1361 0.0000
Sb2 Sb 0.8646 0.8646 0.0000
Tb1 Tb 0.3216 0.3216 0.0000
```

=====

[12]
# Sc6TcSb2

A relaxed Sc6TcSb2 crystal (PBE-GGA, the Open Quantum Materials Database).

magnetic moment = 0.0 μB per formula unit
raw total energy = -6.919 eV/atom

Cell and atoms, written as CIF:
```
data_Sc6TcSb2
_space_group_name_H-M_alt 'P 1'
_space_group_IT_number 1
_space_group_name_Hall 'P 1'
_cell_length_a 7.6135
_cell_length_b 7.6135
_cell_length_c 4.0083
_cell_angle_alpha 90.00
_cell_angle_beta 90.00
_cell_angle_gamma 120.00
loop_
_atom_site_label
_atom_site_type_symbol
_atom_site_fract_x
_atom_site_fract_y
_atom_site_fract_z
Sc1 Sc 0.2352 0.0000 0.0000
Sc2 Sc 0.0000 0.2352 0.0000
Sc3 Sc 0.3944 0.3944 0.5000
Sc4 Sc 0.7648 0.7648 0.0000
Sc5 Sc 0.6056 0.0000 0.5000
Sc6 Sc 0.0000 0.6056 0.5000
Sb1 Sb 0.6667 0.3333 0.0000
Sb2 Sb 0.3333 0.6667 0.0000
Tc1 Tc 0.0000 0.0000 0.5000
```

=====

[13]
# ScTcSb2

A relaxed ScTcSb2 crystal (PBE-GGA, the Open Quantum Materials Database).

magnetic moment = 0.0 μB per formula unit
raw total energy = -6.180 eV/atom

Cell and atoms, written as CIF:
```
data_ScTcSb2
_space_group_name_H-M_alt 'P 1'
_space_group_IT_number 1
_space_group_name_Hall 'P 1'
_cell_length_a 4.8577
_cell_length_b 4.8577
_cell_length_c 4.8577
_cell_angle_alpha 60.00
_cell_angle_beta 60.00
_cell_angle_gamma 60.00
loop_
_atom_site_label
_atom_site_type_symbol
_atom_site_fract_x
_atom_site_fract_y
_atom_site_fract_z
Tc1 Tc 0.0000 0.0000 0.0000
Sb1 Sb 0.7500 0.7500 0.7500
Sb2 Sb 0.5000 0.5000 0.5000
Sc1 Sc 0.2500 0.2500 0.2500
```